Entry 1:
PBE Zr3BiBr, optimized geometry; energy above the most stable polymorph in this dataset = 0.00 eV/f.u.; total energy = -0.218 Ha/atom; density of states at the Fermi level = 5.3 states/eV/cell; space-group type = Pm-3m
1.0
-2.6182 3.6677 -2.2155
-2.4277 0.8697 4.3088
3.5309 3.3177 1.3197
Zr Bi Br
3 1 1
direct
0.5000 0.0000 0.0000
0.0000 0.0000 0.5000
0.0000 0.5000 0.0000
0.5000 0.5000 0.5000
0.0000 0.0000 0.0000

---

Entry 2:
PBE Rb2CaUTe4, optimized geometry; total energy = -0.168 Ha/atom; density of states at the Fermi level = 4.1 states/eV/cell; space-group type = P2/m
1.0
-2.5620 -3.7372 0.9402
0.9558 -2.5413 -7.4971
6.6767 -3.3675 4.8083
Te Ca U Rb
4 1 1 2
direct
0.5000 0.2220 0.1981
0.0000 0.2530 0.8007
0.5000 0.7780 0.8019
0.0000 0.7470 0.1993
0.5000 0.5000 0.0000
0.0000 0.0000 0.0000
0.5000 0.0000 0.5000
0.0000 0.5000 0.5000

---

Entry 3:
PBE Tb7Dy3Ho, optimized geometry; energy above the most stable polymorph in this dataset = 1.38 eV/f.u.; total energy = -0.160 Ha/atom; formation energy from the elements = 0.265 eV/atom; density of states at the Fermi level = 16.4 states/eV/cell; space-group type = C2/m
1.0
-3.8443 0.3284 -4.3177
-3.8025 -2.3712 7.0944
0.5417 7.3739 3.9679
Ho Dy Tb
1 3 7
direct
0.5000 0.5000 0.5000
0.5000 0.0000 0.0000
0.0000 0.2065 0.7935
0.0000 0.7935 0.2065
0.6976 0.9930 0.4016
0.7903 0.7916 0.7916
0.3024 0.5984 0.0070
0.2097 0.2084 0.2084
0.6976 0.4016 0.9930
0.0000 0.5000 0.5000
0.3024 0.0070 0.5984

---

Entry 4:
PBE PmHoPdAu, optimized geometry; energy above the most stable polymorph in this dataset = 0.19 eV/f.u.; total energy = -0.194 Ha/atom; formation energy from the elements = -0.818 eV/atom; density of states at the Fermi level = 2.8 states/eV/cell; space-group type = F-43m
1.0
-2.5797 2.2949 3.7342
-4.4746 -1.8757 1.5249
-0.4042 -2.2286 4.5536
Pm Au Pd Ho
1 1 1 1
direct
0.7500 0.7500 0.7500
0.5000 0.5000 0.5000
0.0000 0.0000 0.0000
0.2500 0.2500 0.2500

---

Entry 5:
PBE Ti8Mo2Rh, optimized geometry; total energy = -0.315 Ha/atom; formation energy from the elements = -0.205 eV/atom; density of states at the Fermi level = 13.0 states/eV/cell; space-group type = C2/m
1.0
4.5769 0.0000 0.0000
0.0000 5.1672 0.8237
-2.2885 -1.3653 7.3457
Ti Rh Mo
8 1 2
direct
0.4131 0.5676 0.8263
0.6797 0.9264 0.3594
0.8585 0.7731 0.7171
0.5869 0.4324 0.1737
0.0471 0.7326 0.0941
0.9529 0.2674 0.9059
0.1415 0.2269 0.2829
0.3203 0.0736 0.6406
0.5000 0.0000 0.0000
0.2294 0.6474 0.4588
0.7706 0.3526 0.5412

---

Entry 6:
PBE Li2Zn2Cu15, optimized geometry; total energy = -0.129 Ha/atom; formation energy from the elements = 0.049 eV/atom; density of states at the Fermi level = 5.8 states/eV/cell; space-group type = R-3m
1.0
6.2707 -0.2209 1.2108
0.9575 6.2011 1.2108
-0.2670 -0.2209 6.3809
Cu Zn Li
15 2 2
direct
0.3311 0.0000 0.6689
0.0000 0.0000 0.5000
0.0000 0.5000 0.0000
0.3380 0.8279 0.3380
0.6689 0.0000 0.3311
0.0000 0.6689 0.3311
0.0000 0.3311 0.6689
0.1721 0.6620 0.6620
0.3311 0.6689 0.0000
0.8279 0.3380 0.3380
0.6620 0.1721 0.6620
0.6620 0.6620 0.1721
0.3380 0.3380 0.8279
0.5000 0.0000 0.0000
0.6689 0.3311 0.0000
0.6348 0.6348 0.6348
0.3652 0.3652 0.3652
0.9004 0.9004 0.9004
0.0996 0.0996 0.0996

---

Entry 7:
PBE CuICl2, optimized geometry; energy above the most stable polymorph in this dataset = 1.21 eV/f.u.; total energy = -0.088 Ha/atom; density of states at the Fermi level = 14.1 states/eV/cell; space-group type = I-42d
1.0
-4.6070 -2.1635 4.6431
4.9686 -3.4065 3.3426
1.0676 1.1889 6.7244
Cl I Cu
4 2 2
direct
0.8750 0.7412 0.7500
0.4912 0.1250 0.2500
0.3750 0.5088 0.7500
0.2588 0.6250 0.2500
0.7500 0.2500 0.5000
0.0000 0.0000 0.0000
0.5000 0.5000 0.0000
0.2500 0.7500 0.5000

---

Entry 8:
PBE CuSi2Hg, optimized geometry; total energy = -0.129 Ha/atom; density of states at the Fermi level = 1.3 states/eV/cell; space-group type = P2/m
1.0
4.2091 0.0000 0.0000
0.0000 3.8875 -0.0767
0.0000 -0.4748 4.7035
Hg Si Cu
1 2 1
direct
0.5000 0.7500 0.7500
0.0000 0.9724 0.1001
0.0000 0.5276 0.3999
0.5000 0.2500 0.2500